# AcPr3Y6

AcPr3Y6 after structural relaxation (PBE, the Alexandria database).

Cell: 10.0803 10.0803 7.0752 Å, 44.57 44.57 60.00°
With the nearest neighbours (Å) after each atom.
Fractional coordinates of all 10 atoms:
Ac1 0.8999 0.8999 0.3002  2 Pr 3.15, 3 Y 3.41
Pr1 0.3998 0.3998 0.8005  2 Pr 2.89
Pr2 0.1608 0.1608 0.5178  1 Pr 2.89, 1 Ac 3.15
Pr3 0.6389 0.6389 0.0833  1 Pr 2.89, 1 Ac 3.15
Y1 0.7294 0.0709 0.7995  3 Pr 3.32-3.57
Y2 0.0709 0.4001 0.7995  3 Pr 3.32-3.57
Y3 0.2381 0.9001 0.2999  1 Ac 3.41, 2 Pr 3.45
Y4 0.4001 0.7294 0.7995  3 Pr 3.32-3.57
Y5 0.5619 0.2381 0.2999  1 Ac 3.41, 2 Pr 3.45
Y6 0.9001 0.5619 0.2999  1 Ac 3.41, 2 Pr 3.45

E above lowest polymorph (eV per atom): 0.1833
Total DFT energy (no corrections) (eV per atom): -5.41
SG: R32 (155)
Magnetic moment (μB/atom): 0.00
ΔE_f (eV per atom): 0.309

---

# KAgAuCl6

KAgAuCl6 after structural relaxation (PBE, the Alexandria database).

Cell: 8.4303 6.8920 6.6588 Å, 82.71 77.88 52.07°
With the nearest neighbours (Å) after each atom.
Fractional coordinates of all 9 atoms:
Cl1 0.6571 0.3647 0.7311  1 Ag 2.39
Cl2 0.6182 0.0142 0.2818  1 Au 2.35, 1 Ag 2.56
Cl3 0.9804 0.3617 0.2684  1 Ag 2.39
Cl4 0.3679 0.0156 0.7186  1 Au 2.35, 1 Ag 2.56
Cl5 0.3313 0.6252 0.2885  1 Au 2.31
Cl6 0.0406 0.6263 0.7122  1 Au 2.31
K1 0.9935 0.0134 0.9991  6 Cl 3.11-3.32
Ag1 0.6770 0.6476 0.5001  4 Cl 2.39-2.56
Au1 0.3339 0.3314 0.5002  4 Cl 2.31-2.35

Uncorrected formation energy (kJ/mol of atoms): -63.6
Total DFT energy (no corrections) (eV per atom): -2.69
SG: P1 (1)
Magnetic moment (μB/atom): 0.12

---

# BaMgZr4

BaMgZr4 after structural relaxation (PBE, the Alexandria database).

Cell: 6.1518 6.1518 6.1518 Å, 60.00 60.00 60.00°
With the nearest neighbours (Å) after each atom.
Fractional coordinates of all 6 atoms:
Zr1 0.3740 0.8780 0.3740  6 Zr 3.05-3.10
Zr2 0.3740 0.3740 0.8780  6 Zr 3.05-3.10
Zr3 0.8780 0.3740 0.3740  6 Zr 3.05-3.10
Zr4 0.3740 0.3740 0.3740  6 Zr 3.05-3.10
Ba1 0.7500 0.7500 0.7500  12 Zr 3.61, 4 Mg 3.77
Mg1 0.0000 0.0000 0.0000  12 Zr 3.60, 4 Ba 3.77

Total DFT energy (no corrections) (eV per atom): -5.80
SG: F-43m (216)
Magnetic moment (μB/atom): 0.00
ΔE_f (eV per atom): 0.482

---

Look up the total DFT energy (no corrections) of the first one. -5.41 eV per atom